First-principles (PBE) data for a relaxed GaHgPb crystal, as listed in the Alexandria database.

- E_form: 0.22 eV per formula unit
- Energy relative to the lowest polymorph listed for this composition: 0.35 kcal/mol of atoms
- Density: 10.19 g cm⁻³

Cell and atoms, written as CIF:
```
data_GaHgPb
_symmetry_space_group_name_H-M 'P 3 m 1'
_symmetry_Int_Tables_number 156
_symmetry_space_group_name_Hall 'P 3 -2"'
_cell_length_a 3.5886
_cell_length_b 3.5886
_cell_length_c 6.9756
_cell_angle_alpha 90.00
_cell_angle_beta 90.00
_cell_angle_gamma 120.00
loop_
_atom_site_label
_atom_site_fract_x
_atom_site_fract_y
_atom_site_fract_z
_atom_site_occupancy
Ga1 0.0000 0.0000 0.0000 1
Hg1 0.6667 0.3333 0.2906 1
Pb1 0.3333 0.6667 0.6577 1
```

---

First-principles (PBE) data for a relaxed SmZr2Tl3Te6 crystal, as listed in the Alexandria database.

- Raw formation energy: -880.3 kJ/mol of formula units
- Density: 7.29 g cm⁻³

Cell and atoms, written as CIF:
```
data_SmZr2Tl3Te6
_symmetry_space_group_name_H-M 'C 1 2/m 1'
_symmetry_Int_Tables_number 12
_symmetry_space_group_name_Hall '-C 2y'
_cell_length_a 7.321
_cell_length_b 12.683
_cell_length_c 8.751
_cell_angle_alpha 90.00
_cell_angle_beta 106.22
_cell_angle_gamma 90.00
loop_
_atom_site_label
_atom_site_fract_x
_atom_site_fract_y
_atom_site_fract_z
_atom_site_occupancy
Sm1 0.000 0.000 0.000 1
Zr1 0.000 0.331 0.000 1
Tl1 0.000 0.159 0.500 1
Tl2 0.000 0.500 0.500 1
Te1 0.218 0.500 0.208 1
Te2 0.247 0.175 0.215 1
```

---

First-principles (PBE) data for a relaxed Cs4NpIn3I12 crystal, as listed in the Alexandria database.

- Raw formation energy: -1905.9 kJ/mol of formula units
- Density: 4.38 g cm⁻³

Cell and atoms, written as CIF:
```
data_Cs4NpIn3I12
_symmetry_space_group_name_H-M 'I m -3 m'
_symmetry_Int_Tables_number 229
_symmetry_space_group_name_Hall '-I 4 2 3'
_cell_length_a 12.593
_cell_length_b 12.593
_cell_length_c 12.593
_cell_angle_alpha 90.00
_cell_angle_beta 90.00
_cell_angle_gamma 90.00
loop_
_atom_site_label
_atom_site_fract_x
_atom_site_fract_y
_atom_site_fract_z
_atom_site_occupancy
Cs1 0.250 0.250 0.250 1
Np1 0.000 0.000 0.000 1
In1 0.000 0.000 0.500 1
I1 0.000 0.000 0.242 1
I2 0.000 0.250 0.500 1
```

---

First-principles (PBE) data for a relaxed ZrMnIn2 crystal, as listed in the Alexandria database.

- E_form: -0.03 eV per formula unit
- Density: 7.51 g cm⁻³

Cell and atoms, written as CIF:
```
data_ZrMnIn2
_symmetry_space_group_name_H-M 'I -4 m 2'
_symmetry_Int_Tables_number 119
_symmetry_space_group_name_Hall 'I -4 -2'
_cell_length_a 4.234
_cell_length_b 4.234
_cell_length_c 9.269
_cell_angle_alpha 90.00
_cell_angle_beta 90.00
_cell_angle_gamma 90.00
loop_
_atom_site_label
_atom_site_fract_x
_atom_site_fract_y
_atom_site_fract_z
_atom_site_occupancy
Zr1 0.000 0.000 0.000 1
Mn1 0.000 0.500 0.750 1
In1 0.000 0.000 0.500 1
In2 0.000 0.500 0.250 1
```

---

First-principles (PBE) data for a relaxed Pr2Ni2Pt crystal, as listed in the Alexandria database.

- E_form: -2.74 eV per formula unit
- Density: 9.07 g cm⁻³

Cell and atoms, written as CIF:
```
data_Pr2Ni2Pt
_symmetry_space_group_name_H-M 'C 1 2/m 1'
_symmetry_Int_Tables_number 12
_symmetry_space_group_name_Hall '-C 2y'
_cell_length_a 10.673
_cell_length_b 4.196
_cell_length_c 10.876
_cell_angle_alpha 90.00
_cell_angle_beta 116.64
_cell_angle_gamma 90.00
loop_
_atom_site_label
_atom_site_fract_x
_atom_site_fract_y
_atom_site_fract_z
_atom_site_occupancy
Pr1 0.096 0.000 0.398 1
Pr2 0.196 0.500 0.140 1
Ni1 0.038 0.000 0.917 1
Ni2 0.119 0.500 0.602 1
Pt1 0.078 0.500 0.816 1
```

---

First-principles (PBE) data for a relaxed Ca2NiGeTe crystal, as listed in the Alexandria database.

- Raw formation energy: -311.3 kJ/mol of formula units
- Density: 4.26 g cm⁻³

Cell and atoms, written as CIF:
```
data_Ca2NiGeTe
_symmetry_space_group_name_H-M 'P 4/m m m'
_symmetry_Int_Tables_number 123
_symmetry_space_group_name_Hall '-P 4 2'
_cell_length_a 5.505
_cell_length_b 5.505
_cell_length_c 4.358
_cell_angle_alpha 90.00
_cell_angle_beta 90.00
_cell_angle_gamma 90.00
loop_
_atom_site_label
_atom_site_fract_x
_atom_site_fract_y
_atom_site_fract_z
_atom_site_occupancy
Ca1 0.000 0.500 0.000 1
Ni1 0.000 0.000 0.000 1
Ge1 0.000 0.000 0.500 1
Te1 0.500 0.500 0.500 1
```

---

First-principles (PBE) data for a relaxed KPuPtO6 crystal, as listed in the Alexandria database.

- Raw formation energy: -1406.7 kJ/mol of formula units
- Density: 6.43 g cm⁻³

Cell and atoms, written as CIF:
```
data_KPuPtO6
_symmetry_space_group_name_H-M 'I m m a'
_symmetry_Int_Tables_number 74
_symmetry_space_group_name_Hall '-I 2b 2'
_cell_length_a 7.225
_cell_length_b 7.810
_cell_length_c 10.510
_cell_angle_alpha 90.00
_cell_angle_beta 90.00
_cell_angle_gamma 90.00
loop_
_atom_site_label
_atom_site_fract_x
_atom_site_fract_y
_atom_site_fract_z
_atom_site_occupancy
K1 0.000 0.250 0.100 1
Pu1 0.000 0.000 0.500 1
Pt1 0.250 0.250 0.750 1
O1 0.000 0.250 0.427 1
O2 0.000 0.250 0.829 1
O3 0.198 0.063 0.624 1
```

---

First-principles (PBE) data for a relaxed CaInAu4 crystal, as listed in the Alexandria database.

- E_form: -2.62 eV per formula unit
- Energy relative to the lowest polymorph listed for this composition: 0.00 kcal/mol of atoms
- Density: 12.13 g cm⁻³

Cell and atoms, written as CIF:
```
data_CaInAu4
_symmetry_space_group_name_H-M 'C m c m'
_symmetry_Int_Tables_number 63
_symmetry_space_group_name_Hall '-C 2c 2'
_cell_length_a 4.100
_cell_length_b 18.743
_cell_length_c 6.720
_cell_angle_alpha 90.00
_cell_angle_beta 90.00
_cell_angle_gamma 90.00
loop_
_atom_site_label
_atom_site_fract_x
_atom_site_fract_y
_atom_site_fract_z
_atom_site_occupancy
Ca1 0.000 0.095 0.250 1
In1 0.000 0.239 0.750 1
Au1 0.000 0.066 0.750 1
Au2 0.000 0.345 0.041 1
Au3 0.000 0.500 0.000 1
```

---

First-principles (PBE) data for a relaxed NiPtRh3 crystal, as listed in the Alexandria database.

- E_form: 0.92 eV per formula unit
- Energy relative to the lowest polymorph listed for this composition: 4.45 kcal/mol of atoms
- Density: 12.84 g cm⁻³

Cell and atoms, written as CIF:
```
data_NiPtRh3
_symmetry_space_group_name_H-M 'P 1 21/c 1'
_symmetry_Int_Tables_number 14
_symmetry_space_group_name_Hall '-P 2ybc'
_cell_length_a 4.601
_cell_length_b 7.352
_cell_length_c 8.989
_cell_angle_alpha 90.00
_cell_angle_beta 106.96
_cell_angle_gamma 90.00
loop_
_atom_site_label
_atom_site_fract_x
_atom_site_fract_y
_atom_site_fract_z
_atom_site_occupancy
Ni1 0.039 0.174 0.488 1
Pt1 0.369 0.742 0.851 1
Rh1 0.135 0.067 0.771 1
Rh2 0.285 0.539 0.577 1
Rh3 0.450 0.108 0.367 1
```

---

First-principles (PBE) data for a relaxed ScP crystal, as listed in the Alexandria database.

- E_form: -2.02 eV per formula unit
- Density: 3.59 g cm⁻³

Cell and atoms, written as CIF:
```
data_ScP
_symmetry_space_group_name_H-M 'I 41/a m d'
_symmetry_Int_Tables_number 141
_cell_length_a 3.739
_cell_length_b 3.739
_cell_length_c 10.056
_cell_angle_alpha 90.00
_cell_angle_beta 90.00
_cell_angle_gamma 90.00
loop_
_symmetry_equiv_pos_as_xyz
'x,y,z'
'-x,-y,-z'
'-y+1/4,x+3/4,z+1/4'
'y+1/4,-x+3/4,-z+1/4'
'-x+1/2,-y,z+1/2'
'x+1/2,y,-z+1/2'
'y+1/4,-x+1/4,z+3/4'
'-y+1/4,x+1/4,-z+3/4'
'x,-y,-z'
'-x,y,z'
'-y+1/4,-x+1/4,-z+3/4'
'y+1/4,x+1/4,z+3/4'
'-x+1/2,y,-z+1/2'
'x+1/2,-y,z+1/2'
'y+1/4,x+3/4,-z+1/4'
'-y+1/4,-x+3/4,z+1/4'
'x+1/2,y+1/2,z+1/2'
'-x+1/2,-y+1/2,-z+1/2'
'-y+3/4,x+1/4,z+3/4'
'y+3/4,-x+1/4,-z+3/4'
'-x,-y+1/2,z'
'x,y+1/2,-z'
'y+3/4,-x+3/4,z+1/4'
'-y+3/4,x+3/4,-z+1/4'
'x+1/2,-y+1/2,-z+1/2'
'-x+1/2,y+1/2,z+1/2'
'-y+3/4,-x+3/4,-z+1/4'
'y+3/4,x+3/4,z+1/4'
'-x,y+1/2,-z'
'x,-y+1/2,z'
'y+3/4,x+1/4,-z+3/4'
'-y+3/4,-x+1/4,z+3/4'
loop_
_atom_site_label
_atom_site_fract_x
_atom_site_fract_y
_atom_site_fract_z
_atom_site_occupancy
Sc1 0.000 0.250 0.375 1
P1 0.000 0.250 0.875 1
```

---

Number 1: DOS(E_F) 1.22 states/eV/f.u.. Number 2: DOS(E_F) 6.12 states/eV/f.u.. Number 3: DOS(E_F) 9.71 states/eV/f.u.. Number 4: DOS(E_F) 2.23 states/eV/f.u.. Number 5: DOS(E_F) 3.94 states/eV/f.u.. Number 6: DOS(E_F) 1.91 states/eV/f.u.. Number 7: DOS(E_F) 1.61 states/eV/f.u.. Number 8: DOS(E_F) 1.96 states/eV/f.u.. Number 9: DOS(E_F) 9.06 states/eV/f.u.. Number 10: DOS(E_F) 0.60 states/eV/f.u..